Compound: KHg3N
Source: Alexandria
Functional: SCAN
Structure: single point on PBEsol structure

```
KHg3N
1.0
6.646 0.000 0.000
0.000 6.646 0.000
0.000 0.000 6.646
K Hg N
1 3 1
Direct
0.000 0.000 0.000 K
0.000 0.000 0.500 Hg
0.000 0.500 0.000 Hg
0.500 0.000 0.000 Hg
0.500 0.500 0.500 N
```

Output
* raw formation energy: 102.3 kJ per mole of atoms
* calculated total energy: -43.363 eV per atom

***

Compound: ReBi3Ru
Source: Alexandria
Functional: SCAN
Structure: single point on PBEsol structure

```
ReBi3Ru
1.0
5.129 0.000 0.000
0.000 5.129 0.000
0.000 0.000 5.129
Re Bi Ru
1 3 1
Direct
0.000 0.000 0.000 Re
0.000 0.500 0.500 Bi
0.500 0.000 0.500 Bi
0.500 0.500 0.000 Bi
0.500 0.500 0.500 Ru
```

Output
* calculated total energy: -66.756 eV per atom
* E_form: 7.88 eV/f.u.

***

Compound: BaGaBr2
Source: Alexandria
Functional: SCAN
Structure: single point on PBEsol structure

```
BaGaBr2
1.0
7.778 0.000 0.000
0.000 7.778 0.000
0.000 0.000 7.778
Ba Ga Br
4 4 8
Direct
0.000 0.000 0.000 Ba
0.000 0.500 0.500 Ba
0.500 0.000 0.500 Ba
0.500 0.500 0.000 Ba
0.000 0.000 0.500 Ga
0.000 0.500 0.000 Ga
0.500 0.000 0.000 Ga
0.500 0.500 0.500 Ga
0.250 0.250 0.250 Br
0.250 0.250 0.750 Br
0.250 0.750 0.250 Br
0.250 0.750 0.750 Br
0.750 0.250 0.250 Br
0.750 0.250 0.750 Br
0.750 0.750 0.250 Br
0.750 0.750 0.750 Br
```

Output
* raw formation energy: -119.7 kJ per mole of atoms
* calculated total energy: -24.944 eV per atom

***

The highest calculated total energy belongs to which entry?
BaGaBr2